[1]
Below is a relaxed structure of Hf2Ti2Pb, with properties calculated at the PBE level.

Unit cell a=4.813 b=4.813 c=5.796 alpha=90.00 beta=90.00 gamma=120.00
Fractional positions:
Pb1 0.333 0.667 0.000
Ti1 0.000 0.000 0.230
Ti2 0.000 0.000 0.770
Hf1 0.667 0.333 0.000
Hf2 0.333 0.667 0.500

Output
- Symmetry: P-6m2
- Final energy: -7.27 eV/atom

---

[2]
Below is a relaxed structure of ReSiCl, with properties calculated at the PBE level.

Unit cell a=6.133 b=6.133 c=6.133 alpha=151.74 beta=151.74 gamma=40.39
Fractional positions:
Cl1 0.973 0.973 0.000
Re1 0.321 0.321 0.000
Si1 0.706 0.706 0.000

Output
- Formation energy without anion corrections: 0.55 eV per atom
- Symmetry: I4mm

---

[3]
Below is a relaxed structure of AcTb2Ce, with properties calculated at the PBE level.

Unit cell a=3.568 b=3.568 c=12.724 alpha=81.94 beta=81.94 gamma=60.00
Each line ends with the local moment (μB).
Fractional positions:
Ac1 0.000 0.000 0.000  -0.01
Tb1 0.906 0.906 0.282  -0.01
Ce1 0.500 0.500 0.500  0.12
Tb2 0.094 0.094 0.718  -0.01

Output
- Symmetry: R-3m
- Final energy: -4.62 eV/atom

---

Which Fermi-level density of states belongs to each record? In order, 1.39; 0.62; 1.79 states/eV/atom.